Here is a relaxed Pr2Sm3Er4 crystal from Alexandria. Energies are from PBE-GGA.

Calculated values
* DFT formation energy: 17 kJ/mol of formula units
* space group: C2/m (12)
* offset from the most stable computed form: 0 meV/atom

Unit cell a=6.201 b=6.201 c=10.790 alpha=106.39 beta=106.39 gamma=48.44
Element x y z (fractional)
Pr (0.166, 0.166, 0.221)
Pr (0.834, 0.834, 0.779)
Sm (0.166, 0.166, 0.557)
Sm (0.500, 0.500, 0.000)
Sm (0.834, 0.834, 0.443)
Er (0.166, 0.166, 0.889)
Er (0.499, 0.499, 0.666)
Er (0.501, 0.501, 0.334)
Er (0.834, 0.834, 0.111)